Computed, not measured: a relaxed structure of LiVHg at the PBE level of DFT.

Computed properties:
ΔE to the lowest computed polymorph	0.1774	eV per atom
V	17.270	A^3/atom
ΔH_f (0 K)	0.2099	eV/atom
magnetic moment	0.00	μB/cell
space-group type	No. 10

Unit cell a=4.598 b=4.938 c=4.901 alpha=90.00 beta=111.37 gamma=90.00
Element x y z (fractional)
1 Li 0.338 0.000 0.670
2 Li 0.662 0.000 0.330
3 V 0.654 0.500 0.904
4 V 0.346 0.500 0.096
5 Hg 0.000 0.000 0.000
6 Hg 0.000 0.500 0.500



Computed, not measured: a relaxed structure of Mg2Zr2H at the PBE level of DFT.

Computed properties:
ΔE to the lowest computed polymorph	0.7847	eV per atom
V	20.039	A^3/atom
magnetic moment	0.00	μB/cell
space-group type	No. 139

Unit cell a=3.543 b=3.543 c=8.367 alpha=77.78 beta=77.78 gamma=90.00
Element x y z (fractional)
1 Mg 0.750 0.250 0.500
2 Mg 0.250 0.750 0.500
3 Zr 0.588 0.588 0.824
4 Zr 0.412 0.412 0.176
5 H 0.000 0.000 0.000



Computed, not measured: a relaxed structure of ScPaTe2 at the PBE level of DFT.

Computed properties:
ΔE to the lowest computed polymorph	0.0592	eV per atom
V	24.975	A^3/atom
energy relative to the elements, uncorrected	-0.791	eV per atom
magnetic moment	1.61	μB/cell
space-group type	No. 123

Unit cell a=3.727 b=5.177 c=5.177 alpha=90.00 beta=90.00 gamma=90.00
Last column: magnetic moment on the atom in μB.
Element x y z (fractional)
1 Te 0.000 0.000 0.500  -0.03
2 Te 0.000 0.500 0.000  -0.03
3 Pa 0.500 0.000 0.000  0.92
4 Sc 0.500 0.500 0.500  0.36



Computed, not measured: a relaxed structure of LaBeCuSe2 at the PBE level of DFT.

Computed properties:
V	19.695	A^3/atom
energy relative to the elements, uncorrected	-0.691	eV per atom
magnetic moment	0.00	μB/cell
space-group type	No. 123

Unit cell a=4.813 b=4.813 c=4.251 alpha=90.00 beta=90.00 gamma=90.00
Element x y z (fractional)
1 Cu 0.000 0.000 0.500
2 Se 0.000 0.500 0.000
3 Se 0.500 0.000 0.000
4 Be 0.000 0.000 0.000
5 La 0.500 0.500 0.500



Computed, not measured: a relaxed structure of Ce4Te3 at the PBE level of DFT.

Computed properties:
ΔE to the lowest computed polymorph	0.0000	eV per atom
V	29.385	A^3/atom
energy relative to the elements, uncorrected	-1.125	eV per atom
magnetic moment	10.18	μB/cell
space-group type	No. 220

Unit cell a=8.115 b=8.115 c=8.115 alpha=109.47 beta=109.47 gamma=109.47
Last column: magnetic moment on the atom in μB.
Element x y z (fractional)
1 Te 0.375 0.125 0.750  -0.03
2 Te 0.250 0.875 0.125  -0.03
3 Te 0.750 0.625 0.375  -0.03
4 Te 0.125 0.375 0.250  -0.03
5 Te 0.625 0.750 0.875  -0.03
6 Te 0.875 0.250 0.625  -0.03
7 Ce 0.500 0.851 0.500  1.00
8 Ce 0.000 0.000 0.851  1.00
9 Ce 0.500 0.351 0.500  1.00
10 Ce 0.851 0.500 0.000  1.00
11 Ce 0.149 0.649 0.649  1.00
12 Ce 0.351 0.500 0.000  1.00
13 Ce 0.649 0.149 0.149  1.00
14 Ce 0.000 0.000 0.351  1.00



Computed, not measured: a relaxed structure of ScSbTe2Se at the PBE level of DFT.

Computed properties:
ΔE to the lowest computed polymorph	0.0000	eV per atom
V	32.790	A^3/atom
energy relative to the elements, uncorrected	0.169	eV per atom
magnetic moment	0.46	μB/cell
space-group type	No. 123

Unit cell a=5.397 b=5.397 c=5.628 alpha=90.00 beta=90.00 gamma=90.00
Last column: magnetic moment on the atom in μB.
Element x y z (fractional)
1 Sb 0.000 0.000 0.500  -0.03
2 Sc 0.000 0.000 0.000  0.03
3 Te 0.500 0.000 0.000  0.01
4 Te 0.000 0.500 0.000  0.01
5 Se 0.500 0.500 0.500  0.28



Computed, not measured: a relaxed structure of ZnCu2Hg at the PBE level of DFT.

Computed properties:
V	15.046	A^3/atom
ΔH_f (0 K)	0.0994	eV/atom
magnetic moment	0.00	μB/cell
space-group type	No. 225

Unit cell a=4.399 b=4.399 c=4.399 alpha=60.00 beta=60.00 gamma=60.00
Element x y z (fractional)
1 Zn 0.000 0.000 0.000
2 Cu 0.750 0.750 0.750
3 Cu 0.250 0.250 0.250
4 Hg 0.500 0.500 0.500



Computed, not measured: a relaxed structure of Ti2FeH at the PBE level of DFT.

Computed properties:
ΔE to the lowest computed polymorph	0.0345	eV per atom
V	11.848	A^3/atom
magnetic moment	0.00	μB/cell
space-group type	No. 122

Unit cell a=5.545 b=5.545 c=4.988 alpha=56.23 beta=56.23 gamma=90.00
Element x y z (fractional)
1 H 0.250 0.750 0.500
2 H 0.500 0.500 0.000
3 Ti 0.557 0.125 0.250
4 Ti 0.375 0.443 0.750
5 Ti 0.193 0.625 0.250
6 Ti 0.875 0.807 0.750
7 Fe 0.000 0.000 0.000
8 Fe 0.750 0.250 0.500



Computed, not measured: a relaxed structure of Tb4AgHg at the PBE level of DFT.

Computed properties:
ΔE to the lowest computed polymorph	0.0000	eV per atom
V	27.744	A^3/atom
ΔH_f (0 K)	-0.2378	eV/atom
magnetic moment	1.90	μB/cell
space-group type	No. 123

Unit cell a=3.619 b=3.619 c=12.707 alpha=89.98 beta=89.98 gamma=90.00
Last column: magnetic moment on the atom in μB.
Element x y z (fractional)
1 Tb 0.500 0.500 0.146  0.30
2 Tb 0.500 0.500 0.854  0.30
3 Tb 0.000 0.000 0.657  0.34
4 Tb 0.000 0.000 0.343  0.34
5 Hg 0.500 0.500 0.500  0.01
6 Ag 0.000 0.000 0.000  0.02



Computed, not measured: a relaxed structure of K2CoP at the PBE level of DFT.

Computed properties:
V	25.680	A^3/atom
ΔH_f (0 K)	0.6186	eV/atom
magnetic moment	2.07	μB/cell
space-group type	No. 123

Unit cell a=4.462 b=4.467 c=5.153 alpha=90.00 beta=90.00 gamma=90.00
Last column: magnetic moment on the atom in μB.
Element x y z (fractional)
1 P 0.500 0.500 0.250  0.13
2 Co 0.500 0.500 0.750  1.82
3 K 0.000 0.000 0.498  0.00
4 K 0.000 0.000 0.002  0.00



Computed, not measured: a relaxed structure of Ta6OsRh5 at the PBE level of DFT.

Computed properties:
V	16.036	A^3/atom
ΔH_f (0 K)	-0.4351	eV/atom
magnetic moment	0.00	μB/cell
space-group type	No. 71

Unit cell a=4.092 b=7.543 c=7.543 alpha=110.25 beta=105.71 gamma=105.71
Element x y z (fractional)
1 Ta 0.247 0.413 0.081
2 Ta 0.255 0.755 0.755
3 Ta 0.753 0.587 0.919
4 Ta 0.745 0.245 0.245
5 Ta 0.753 0.919 0.587
6 Ta 0.247 0.081 0.413
7 Rh 0.500 0.828 0.172
8 Rh 0.500 0.172 0.828
9 Rh 0.500 0.500 0.500
10 Rh 0.000 0.665 0.335
11 Rh 0.000 0.335 0.665
12 Os 0.000 0.000 0.000



Computed, not measured: a relaxed structure of PuSnO at the PBE level of DFT.

Computed properties:
ΔE to the lowest computed polymorph	0.0000	eV per atom
V	20.685	A^3/atom
energy relative to the elements, uncorrected	-1.869	eV per atom
magnetic moment	9.87	μB/cell
space-group type	No. 129

Unit cell a=3.975 b=3.975 c=7.854 alpha=89.98 beta=90.00 gamma=90.00
Last column: magnetic moment on the atom in μB.
Element x y z (fractional)
1 Sn 0.250 0.250 0.415  -0.07
2 Sn 0.750 0.750 0.585  -0.07
3 Pu 0.250 0.250 0.854  4.99
4 Pu 0.750 0.750 0.146  4.99
5 O 0.250 0.750 0.000  -0.14
6 O 0.750 0.250 0.000  -0.14



Computed, not measured: a relaxed structure of BaSr2Pb at the PBE level of DFT.

Computed properties:
V	44.816	A^3/atom
ΔH_f (0 K)	-0.1073	eV/atom
magnetic moment	0.00	μB/cell
space-group type	No. 12

Unit cell a=6.811 b=7.591 c=4.038 alpha=75.81 beta=87.35 gamma=115.87
Element x y z (fractional)
1 Pb 0.500 0.500 0.000
2 Sr 0.500 0.000 0.500
3 Sr 0.000 0.000 0.000
4 Ba 0.000 0.500 0.500



Computed, not measured: a relaxed structure of PmDyLuPa at the PBE level of DFT.

Computed properties:
V	30.543	A^3/atom
ΔH_f (0 K)	0.3714	eV/atom
magnetic moment	3.61	μB/cell
space-group type	No. 216

Unit cell a=5.570 b=5.570 c=5.570 alpha=60.00 beta=60.00 gamma=60.00
Last column: magnetic moment on the atom in μB.
Element x y z (fractional)
1 Lu 0.500 0.500 0.500  0.32
2 Dy 0.250 0.250 0.250  0.47
3 Pa 0.000 0.000 0.000  1.48
4 Pm 0.750 0.750 0.750  0.35



Computed, not measured: a relaxed structure of Rb2In2Rh at the PBE level of DFT.

Computed properties:
V	34.101	A^3/atom
ΔH_f (0 K)	0.0606	eV/atom
magnetic moment	0.00	μB/cell
space-group type	No. 127

Unit cell a=7.283 b=7.283 c=6.430 alpha=90.00 beta=90.00 gamma=90.00
Element x y z (fractional)
1 Rh 0.000 0.000 0.000
2 Rh 0.500 0.500 0.000
3 Rb 0.325 0.175 0.500
4 Rb 0.675 0.825 0.500
5 Rb 0.825 0.325 0.500
6 Rb 0.175 0.675 0.500
7 In 0.684 0.184 0.000
8 In 0.316 0.816 0.000
9 In 0.184 0.316 0.000
10 In 0.816 0.684 0.000



Computed, not measured: a relaxed structure of PaCdPt6 at the PBE level of DFT.

Computed properties:
ΔE to the lowest computed polymorph	0.0717	eV per atom
V	17.412	A^3/atom
ΔH_f (0 K)	-0.6391	eV/atom
magnetic moment	0.00	μB/cell
space-group type	No. 187

Unit cell a=4.750 b=5.819 c=5.819 alpha=120.01 beta=90.00 gamma=90.00
Element x y z (fractional)
1 Pt 0.000 0.076 0.414
2 Pt 0.500 0.423 0.086
3 Pt 0.500 0.914 0.577
4 Pt 0.500 0.914 0.086
5 Pt 0.000 0.586 0.414
6 Pt 0.000 0.586 0.924
7 Pa 0.000 0.083 0.917
8 Cd 0.500 0.417 0.583



Computed, not measured: a relaxed structure of TlTe3 at the PBE level of DFT.

Computed properties:
V	31.310	A^3/atom
energy relative to the elements, uncorrected	0.119	eV per atom
magnetic moment	0.00	μB/cell
space-group type	No. 65

Unit cell a=6.234 b=6.234 c=3.222 alpha=90.00 beta=90.00 gamma=89.94
Element x y z (fractional)
1 Tl 0.000 0.000 0.000
2 Te 0.000 0.500 0.500
3 Te 0.500 0.000 0.500
4 Te 0.500 0.500 0.000



Computed, not measured: a relaxed structure of Rb2AcMn2Se4 at the PBE level of DFT.

Computed properties:
V	31.088	A^3/atom
energy relative to the elements, uncorrected	-1.099	eV per atom
magnetic moment	9.00	μB/cell
space-group type	No. 12

Unit cell a=4.373 b=8.386 c=8.450 alpha=110.09 beta=105.00 gamma=90.00
Last column: magnetic moment on the atom in μB.
Element x y z (fractional)
1 Se 0.205 0.167 0.410  0.06
2 Se 0.795 0.833 0.590  0.06
3 Se 0.472 0.239 0.944  0.03
4 Se 0.528 0.761 0.056  0.03
5 Mn 0.318 0.014 0.636  3.92
6 Mn 0.682 0.986 0.364  3.92
7 Rb 0.131 0.556 0.262  0.01
8 Rb 0.869 0.444 0.738  0.01
9 Ac 0.000 0.000 0.000  0.03



Computed, not measured: a relaxed structure of InBH3 at the PBE level of DFT.

Computed properties:
ΔE to the lowest computed polymorph	1.1676	eV per atom
V	11.742	A^3/atom
magnetic moment	0.00	μB/cell
space-group type	No. 221

Unit cell a=3.887 b=3.887 c=3.887 alpha=90.00 beta=90.00 gamma=90.00
Element x y z (fractional)
1 B 0.500 0.500 0.500
2 H 0.500 0.000 0.000
3 H 0.000 0.500 0.000
4 H 0.000 0.000 0.500
5 In 0.000 0.000 0.000



Computed, not measured: a relaxed structure of ThZn2Co2P at the PBE level of DFT.

Computed properties:
V	16.750	A^3/atom
ΔH_f (0 K)	-0.3587	eV/atom
magnetic moment	1.54	μB/cell
space-group type	No. 123

Unit cell a=4.232 b=4.232 c=5.611 alpha=90.00 beta=90.00 gamma=90.00
Last column: magnetic moment on the atom in μB.
Element x y z (fractional)
1 Th 0.000 0.000 0.500  0.04
2 Co 0.500 0.000 0.000  0.75
3 Co 0.000 0.500 0.000  0.75
4 P 0.000 0.000 0.000  0.03
5 Zn 0.500 0.500 0.266  -0.01
6 Zn 0.500 0.500 0.734  -0.01